Entry 1:
Computed, not measured: a geometry-optimized Zn5Br12F3 structure at the GGA-PBE level of DFT.

Summary:
DFT total energy in eV per atom: -2.05
Crystal system: cubic
Space-group type: No. 230
DOS(E_F) in states/eV/atom: 1.12

extended XYZ file:
```
80
Lattice="-8.732 -4.003 -10.070 12.527 2.587 -5.480 1.089 -10.120 9.490" Properties=species:S:1:pos:R:3 pbc="T T T"
Zn 1.898 -0.708 -7.775
Zn -4.366 -2.001 -5.035
Zn 1.689 -5.180 -7.419
Zn -0.006 -2.119 -3.960
Zn -4.030 -11.534 0.066
Zn 3.195 -6.356 1.358
Zn -0.892 -8.768 2.656
Zn 8.712 -2.355 -1.810
Zn 1.006 -9.476 -5.119
Zn 2.442 -5.768 -3.030
Zn 6.264 1.294 -2.740
Zn -3.828 -9.181 -4.250
Zn -3.822 -7.062 -0.290
Zn 5.776 -2.768 -8.716
Zn 3.878 -2.060 -0.941
Zn 6.808 -3.767 2.005
Zn 8.915 -0.002 -6.126
Zn 4.891 -9.417 -2.100
Zn 0.544 -5.060 4.745
Zn 0.000 0.000 0.000
Br 11.051 -1.964 -2.384
Br 6.797 -0.126 -4.922
Br -1.445 -7.175 0.893
Br 4.340 -4.145 -2.123
Br 4.095 -0.229 -2.539
Br 0.466 -7.690 4.373
Br -1.838 -2.700 -5.464
Br -1.912 -11.409 -1.139
Br 3.371 -8.389 2.696
Br 4.420 -1.207 -12.976
Br 5.452 -5.669 0.738
Br 3.025 -4.764 -5.420
Br 4.545 -0.922 -7.701
Br 2.907 -10.029 -0.818
Br -4.804 -2.884 -7.502
Br -3.279 -5.769 -9.170
Br -0.992 -4.225 -11.202
Br -5.780 -12.410 -1.391
Br 1.513 -3.147 -8.756
Br 3.258 -9.435 -6.057
Br 7.511 -3.259 -3.732
Br -4.715 -4.530 -4.298
Br 8.548 -3.974 0.007
Br 6.722 -8.836 -0.597
Br 4.425 -7.473 -3.500
Br 0.339 -10.614 1.641
Br -6.167 -9.572 -3.676
Br 2.786 -6.942 -8.701
Br 0.544 -7.391 -3.938
Br 7.814 -6.724 -4.674
Br 8.164 -5.767 3.110
Br 0.789 -11.307 -3.522
Br -2.930 -4.811 -1.386
Br -2.627 -8.276 -2.329
Br 1.626 -2.101 -0.004
Br 10.665 0.874 -4.670
Br -0.568 -5.867 -6.798
Br 9.688 -8.652 1.442
Br 0.464 -10.329 6.915
Br -3.664 -7.562 -6.068
Br 4.419 -3.846 -10.433
Br 1.859 -6.772 -0.640
Br 6.329 -4.361 -6.953
Br 2.098 -4.594 2.641
Br 5.877 -7.310 5.142
Br 1.977 -1.506 -5.242
Br 9.599 -7.006 -1.763
Br 0.460 -4.062 -2.560
F 1.891 -2.827 -11.735
F -1.917 -5.650 -4.105
F 2.993 -8.709 5.675
F 4.827 -2.414 -4.829
F 10.686 -5.827 1.063
F -0.209 -4.472 0.356
F 6.801 -5.886 -1.955
F -5.802 -5.709 -7.124
F 6.599 -8.239 2.361
F 0.057 -9.122 -1.232
F 5.093 -7.063 -6.417
F -1.715 -3.297 -8.421
```


Entry 2:
Computed, not measured: a geometry-optimized BaSr2SnBr8 structure at the GGA-PBE level of DFT.

Summary:
DFT total energy in eV per atom: -3.67
Crystal system: monoclinic
Space-group type: No. 10
DOS(E_F) in states/eV/atom: 0.00

extended XYZ file:
```
12
Lattice="7.262 -0.022 -0.004 0.027 7.054 -0.008 0.006 0.011 9.463" Properties=species:S:1:pos:R:3 pbc="T T T"
Sr 3.649 3.524 7.153
Sr 3.646 3.519 2.296
Ba 0.003 0.005 4.731
Br 2.601 1.925 4.728
Br 4.858 5.197 9.453
Br 4.694 5.118 4.722
Br 6.112 1.662 2.208
Br 2.437 1.846 -0.004
Br 6.116 1.667 7.243
Br 1.180 5.376 2.207
Br 1.183 5.382 7.242
Sn 0.000 0.000 0.000
```


Entry 3:
Computed, not measured: a geometry-optimized CaGa2SiS6 structure at the GGA-PBE level of DFT.

Summary:
DFT total energy in eV per atom: -4.67
Crystal system: monoclinic
Space-group type: No. 15
DOS(E_F) in states/eV/atom: 0.00

extended XYZ file:
```
20
Lattice="-1.960 -3.340 5.938 4.654 -7.289 0.599 5.117 2.786 6.419" Properties=species:S:1:pos:R:3 pbc="T T T"
Si 3.268 -7.958 6.113
Si 4.542 0.115 6.843
S 2.569 -3.950 4.650
S 2.817 -1.033 7.339
S 7.429 -5.532 10.623
S 5.242 -3.892 8.306
S 6.143 -3.939 4.346
S 1.668 -3.904 8.610
S 3.567 -4.357 1.485
S 0.381 -2.310 2.333
S 4.994 -6.809 5.617
S 8.344 -5.277 6.837
S -0.534 -2.565 6.120
S 4.244 -3.485 11.471
Ga 1.800 -2.992 6.512
Ga 5.089 -5.244 10.150
Ga 2.722 -2.598 2.806
Ga 6.010 -4.851 6.444
Ca 4.230 -6.678 2.919
Ca 3.580 -1.164 10.037
```


Entry 4:
Computed, not measured: a geometry-optimized ThTeH2 structure at the GGA-PBE level of DFT.

Summary:
Crystal system: orthorhombic
Space-group type: No. 59
ΔE to the lowest computed polymorph in meV/atom: 0

extended XYZ file:
```
8
Lattice="3.988 0.000 0.000 0.000 5.391 0.000 0.000 0.000 6.154" Properties=species:S:1:pos:R:3 pbc="T T T"
Th 0.000 1.967 0.000
Th 1.994 3.425 3.077
Te 1.994 4.729 0.000
Te 0.000 0.663 3.077
H 1.994 2.105 1.189
H 0.000 3.287 1.888
H 0.000 3.287 4.267
H 1.994 2.105 4.965
```


Entry 5:
Computed, not measured: a geometry-optimized SmTlPd structure at the GGA-PBE level of DFT.

Summary:
Energy relative to the elements in eV per atom: -0.5699
Crystal system: hexagonal
Space-group type: No. 194
ΔE to the lowest computed polymorph in meV/atom: 79
DOS(E_F) in states/eV/atom: 0.75

extended XYZ file:
```
6
Lattice="-1.350 4.825 -1.183 -2.921 -3.945 -1.550 -3.280 0.368 5.245" Properties=species:S:1:pos:R:3 pbc="T T T"
Tl -3.100 -1.789 1.847
Tl -1.460 -1.973 -0.775
Sm -4.154 0.021 -0.769
Sm -3.397 1.226 3.281
Pd -5.794 0.204 1.853
Pd -1.757 1.044 0.659
```


Entry 6:
Computed, not measured: a geometry-optimized TaFe3Ni structure at the GGA-PBE level of DFT.

Summary:
Energy relative to the elements in eV per atom: 0.9730
Crystal system: cubic
Space-group type: No. 221
ΔE to the lowest computed polymorph in meV/atom: 0
DOS(E_F) in states/eV/atom: 1.20

extended XYZ file:
```
5
Lattice="-2.750 -0.212 3.228 3.185 -0.925 2.653 0.571 4.139 0.757" Properties=species:S:1:pos:R:3 pbc="T T T"
Fe 1.592 -0.462 1.326
Fe 0.285 2.070 0.379
Fe -1.375 -0.106 1.614
Ta 0.502 1.502 3.319
Ni 0.000 0.000 0.000
```


Entry 7:
Computed, not measured: a geometry-optimized LaSm14Zr structure at the GGA-PBE level of DFT.

Summary:
Energy relative to the elements in eV per atom: 0.0454
Crystal system: orthorhombic
Space-group type: No. 38
DOS(E_F) in states/eV/atom: 1.45

extended XYZ file:
```
16
Lattice="-3.996 5.372 2.696 1.556 -2.203 6.695 8.174 6.037 0.087" Properties=species:S:1:pos:R:3 pbc="T T T"
Sm 2.783 4.758 1.891
Sm 1.562 6.343 6.588
Sm 4.224 7.141 4.235
Sm 6.273 4.384 2.852
Sm 0.786 7.442 3.240
Sm 7.071 3.253 6.287
Sm 2.100 1.303 2.808
Sm 2.900 0.172 6.243
Sm 0.049 4.058 4.191
Sm -1.304 1.739 1.849
Sm -2.524 3.323 6.544
Sm 5.021 6.010 7.670
Sm 0.849 2.928 7.626
Sm 3.559 3.658 5.238
La -0.524 0.635 5.197
Zr -3.304 4.427 3.195
```


Entry 8:
Computed, not measured: a geometry-optimized TmCuRh structure at the GGA-PBE level of DFT.

Summary:
Energy relative to the elements in eV per atom: -0.6048
Crystal system: orthorhombic
Space-group type: No. 63
ΔE to the lowest computed polymorph in meV/atom: 0
DOS(E_F) in states/eV/atom: 0.40

extended XYZ file:
```
6
Lattice="4.200 0.000 0.000 -2.100 4.759 0.000 0.000 0.000 5.295" Properties=species:S:1:pos:R:3 pbc="T T T"
Tm 0.000 1.924 3.971
Tm 2.100 2.835 1.324
Rh 0.000 0.887 1.324
Rh 2.100 3.871 3.971
Cu 2.100 0.000 2.648
Cu 2.100 0.000 0.000
```


Entry 9:
Computed, not measured: a geometry-optimized KCrSn2 structure at the GGA-PBE level of DFT.

Summary:
Energy relative to the elements in eV per atom: 0.3528
Crystal system: tetragonal
Space-group type: No. 141
ΔE to the lowest computed polymorph in meV/atom: 8
DOS(E_F) in states/eV/atom: 0.48

extended XYZ file:
```
8
Lattice="6.024 0.000 0.000 0.000 6.024 0.000 3.012 3.012 8.570" Properties=species:S:1:pos:R:3 pbc="T T T"
Sn 6.022 1.506 2.142
Sn 7.529 3.010 6.427
Sn 6.025 4.518 2.142
Sn 4.518 3.013 6.427
K 3.012 3.012 0.000
K 3.012 6.024 4.285
Cr 6.024 3.012 4.285
Cr 0.000 0.000 0.000
```


Entry 10:
Computed, not measured: a geometry-optimized Cr2NiPdN structure at the GGA-PBE level of DFT.

Summary:
DFT total energy in eV per atom: -7.83
Crystal system: tetragonal
Space-group type: No. 123
DOS(E_F) in states/eV/atom: 1.13

extended XYZ file:
```
5
Lattice="-0.198 -2.993 -2.336 2.883 -1.641 1.858 -2.525 -1.712 2.407" Properties=species:S:1:pos:R:3 pbc="T T T"
Pd 0.080 -3.173 0.964
Ni -1.263 -0.856 1.204
Cr -0.099 -1.496 -1.168
Cr 1.441 -0.820 0.929
N 0.000 0.000 0.000
```


Entry 11:
Computed, not measured: a geometry-optimized Pu3Zn3Au8 structure at the GGA-PBE level of DFT.

Summary:
Energy relative to the elements in eV per atom: -0.3760
Crystal system: monoclinic
Space-group type: No. 12
DOS(E_F) in states/eV/atom: 3.11

extended XYZ file:
```
14
Lattice="4.506 0.000 1.189 1.490 7.598 3.488 0.181 -0.040 8.449" Properties=species:S:1:pos:R:3 pbc="T T T"
Pu 2.505 5.452 8.776
Pu 0.000 0.000 0.000
Pu 3.672 2.105 4.349
Au 4.502 7.321 10.341
Au 0.947 1.160 5.546
Au 1.507 4.366 3.421
Au 2.861 2.549 7.423
Au 5.230 6.397 7.579
Au 3.316 5.008 5.702
Au 4.670 3.191 9.705
Au 1.675 0.236 2.784
Zn 0.835 3.779 5.968
Zn 1.994 2.455 1.575
Zn 4.183 5.102 11.551
```


Entry 12:
Computed, not measured: a geometry-optimized CeNbCo structure at the GGA-PBE level of DFT.

Summary:
Energy relative to the elements in eV per atom: 0.1707
Crystal system: orthorhombic
Space-group type: No. 69
DOS(E_F) in states/eV/atom: 1.66

extended XYZ file:
```
6
Lattice="-1.512 0.382 -5.851 0.492 -2.723 -3.438 -6.264 -2.389 -1.671" Properties=species:S:1:pos:R:3 pbc="T T T"
Nb -4.020 -2.270 -6.943
Nb -3.264 -2.461 -4.017
Ce -0.042 -1.475 -3.219
Ce -0.977 -0.866 -6.071
Co -5.318 -1.402 -4.984
Co -2.458 -0.606 -2.538
```


Entry 13:
Computed, not measured: a geometry-optimized NaCaSn2 structure at the GGA-PBE level of DFT.

Summary:
Energy relative to the elements in eV per atom: -0.3581
Crystal system: tetragonal
Space-group type: No. 123
DOS(E_F) in states/eV/atom: 0.32

extended XYZ file:
```
4
Lattice="3.833 0.000 0.000 0.000 3.833 0.000 0.000 0.000 7.436" Properties=species:S:1:pos:R:3 pbc="T T T"
Na 1.916 1.916 0.000
Ca 1.916 1.916 3.718
Sn 0.000 0.000 1.736
Sn 0.000 0.000 5.700
```


Entry 14:
Computed, not measured: a geometry-optimized LaCrCl2 structure at the GGA-PBE level of DFT.

Summary:
Crystal system: trigonal
Space-group type: No. 166
ΔE to the lowest computed polymorph in meV/atom: 659
DOS(E_F) in states/eV/atom: 1.89

extended XYZ file:
```
4
Lattice="5.744 5.954 4.027 7.227 3.092 4.784 7.794 4.526 1.854" Properties=species:S:1:pos:R:3 pbc="T T T"
La 0.000 0.000 0.000
Cr 10.382 6.786 5.333
Cl 2.333 1.525 1.198
Cl 18.432 12.048 9.467
```


Entry 15:
Computed, not measured: a geometry-optimized Dy8Tl2Cd structure at the GGA-PBE level of DFT.

Summary:
Energy relative to the elements in eV per atom: -0.1787
Crystal system: monoclinic
Space-group type: No. 12
ΔE to the lowest computed polymorph in meV/atom: 0
DOS(E_F) in states/eV/atom: 0.91

extended XYZ file:
```
11
Lattice="-5.243 0.755 0.794 -1.741 -4.959 -6.782 3.299 -3.534 7.076" Properties=species:S:1:pos:R:3 pbc="T T T"
Dy -1.163 -3.978 -3.899
Dy -4.019 -5.430 -3.314
Dy 0.334 -2.308 4.403
Dy -2.522 -3.760 4.987
Dy -3.556 -6.002 0.292
Dy -0.405 -5.325 2.388
Dy -0.129 -1.736 0.797
Dy -3.280 -2.413 -1.300
Cd -2.621 0.377 0.397
Tl -0.780 -4.530 -0.842
Tl -2.905 -3.208 1.930
```


Entry 16:
Computed, not measured: a geometry-optimized TePt2Pb structure at the GGA-PBE level of DFT.

Summary:
Crystal system: trigonal
Space-group type: No. 166
ΔE to the lowest computed polymorph in meV/atom: 88
DOS(E_F) in states/eV/atom: 0.42

extended XYZ file:
```
4
Lattice="3.969 -0.019 0.018 2.006 3.424 0.018 1.965 1.120 6.599" Properties=species:S:1:pos:R:3 pbc="T T T"
Pt 1.963 1.119 6.502
Pt 3.972 2.264 3.415
Te 5.955 3.394 4.976
Pb 1.985 1.131 1.659
```


Entry 17:
Computed, not measured: a geometry-optimized Pm2ZnOs structure at the GGA-PBE level of DFT.

Summary:
Energy relative to the elements in eV per atom: -0.1421
Crystal system: tetragonal
Space-group type: No. 123
ΔE to the lowest computed polymorph in meV/atom: 68
DOS(E_F) in states/eV/atom: 0.92

extended XYZ file:
```
4
Lattice="-2.066 0.395 2.831 -2.704 -1.404 -1.777 1.965 -6.800 2.382" Properties=species:S:1:pos:R:3 pbc="T T T"
Os -2.385 -0.505 0.527
Pm 1.513 -5.236 1.835
Pm 0.452 -1.564 0.548
Zn -1.402 -3.904 1.718
```


Entry 18:
Computed, not measured: a geometry-optimized CaLaSb2 structure at the GGA-PBE level of DFT.

Summary:
Crystal system: orthorhombic
Space-group type: No. 62
ΔE to the lowest computed polymorph in meV/atom: 6
DOS(E_F) in states/eV/atom: 1.02

extended XYZ file:
```
16
Lattice="4.761 0.000 0.000 0.000 6.504 0.000 0.000 0.000 17.594" Properties=species:S:1:pos:R:3 pbc="T T T"
Sb 3.570 4.893 3.358
Sb 1.190 1.641 5.439
Sb 3.570 4.862 12.155
Sb 1.190 1.624 9.841
Sb 1.190 1.627 1.044
Sb 1.190 1.611 14.235
Sb 3.570 4.879 7.753
Sb 3.570 4.876 16.550
La 3.570 1.627 7.617
La 3.570 1.625 16.414
La 1.190 4.879 1.180
La 1.190 4.876 9.977
Ca 3.570 1.640 3.270
Ca 3.570 1.612 12.067
Ca 1.190 4.864 14.323
Ca 1.190 4.892 5.526
```


Entry 19:
Computed, not measured: a geometry-optimized SrZrO structure at the GGA-PBE level of DFT.

Summary:
DFT total energy in eV per atom: -6.29
Crystal system: hexagonal
Space-group type: No. 187
DOS(E_F) in states/eV/atom: 0.29

extended XYZ file:
```
6
Lattice="3.490 0.000 0.000 -1.745 3.021 0.000 0.000 0.000 11.899" Properties=species:S:1:pos:R:3 pbc="T T T"
Sr 1.745 0.673 7.542
Sr 1.745 0.673 4.357
O 0.000 1.680 5.949
O 1.745 0.670 0.000
Zr 0.000 1.677 1.334
Zr 0.000 1.677 10.565
```


Entry 20:
Computed, not measured: a geometry-optimized NdTaC2 structure at the GGA-PBE level of DFT.

Summary:
Energy relative to the elements in eV per atom: -0.3264
Crystal system: orthorhombic
Space-group type: No. 62
ΔE to the lowest computed polymorph in meV/atom: 0
DOS(E_F) in states/eV/atom: 0.17

extended XYZ file:
```
16
Lattice="-1.471 1.328 -3.089 0.444 -5.309 -2.493 -10.177 -2.602 3.727" Properties=species:S:1:pos:R:3 pbc="T T T"
C -8.444 -4.413 -1.147
C -2.760 -2.170 -0.709
C -10.146 -3.779 2.116
C -2.532 -4.823 -1.957
C -5.835 -1.315 -1.057
C -8.671 -1.760 0.102
C -5.368 -5.268 -0.798
C -1.057 -2.804 -3.972
Nd -8.705 -6.766 0.147
Nd -6.704 -3.543 0.579
Nd -2.498 0.183 -2.002
Nd -4.499 -3.040 -2.434
Ta -6.874 -5.423 -2.328
Ta -10.010 -3.514 -0.015
Ta -4.330 -1.160 0.473
Ta -1.194 -3.069 -1.841
```